The following is a DFT calculation (PBEsol) of a relaxed structure of TaSi2Pb.

Computed properties:
Calculated volume (A^3/atom): 18.0
Density (g/cm³): 10.22
SG: C2/m, No. 12

Geometry as CIF:
```
data_TaSi2Pb
_cell_length_a 4.968
_cell_length_b 4.968
_cell_length_c 2.975
_cell_angle_alpha 90.13
_cell_angle_beta 90.13
_cell_angle_gamma 100.55
_symmetry_space_group_name_H-M 'P 1'
_symmetry_Int_Tables_number 1
_symmetry_space_group_name_Hall 'P 1'
loop_
_atom_site_label
_atom_site_type_symbol
_atom_site_fract_x
_atom_site_fract_y
_atom_site_fract_z
Ta1 Ta 0.000 0.000 0.000
Si1 Si 0.000 0.500 0.500
Si2 Si 0.500 0.000 0.500
Pb1 Pb 0.500 0.500 0.000
```

=====

The following is a DFT calculation (PBEsol) of a relaxed structure of Ta2SiPb.

Computed properties:
Calculated volume (A^3/atom): 18.0
Density (g/cm³): 13.81
SG: I-4m2, No. 119
Energy relative to the lowest polymorph listed for this composition (kJ/mol of formula units): 72

Geometry as CIF:
```
data_Ta2SiPb
_cell_length_a 5.260
_cell_length_b 5.260
_cell_length_c 5.260
_cell_angle_alpha 134.93
_cell_angle_beta 134.93
_cell_angle_gamma 65.64
_symmetry_space_group_name_H-M 'P 1'
_symmetry_Int_Tables_number 1
_symmetry_space_group_name_Hall 'P 1'
loop_
_atom_site_label
_atom_site_type_symbol
_atom_site_fract_x
_atom_site_fract_y
_atom_site_fract_z
Ta1 Ta 0.000 0.000 0.000
Ta2 Ta 0.750 0.250 0.500
Si1 Si 0.250 0.750 0.500
Pb1 Pb 0.500 0.500 0.000
```

=====

What are the ΔE_f (raw) values for these records? In order: 0.48 0.38 eV per atom.
What are the calculated total energy values for these records? In order: -6.53 -8.33 eV per atom.